DFT (GGA-PBE) results for an optimized crystal structure of BeCr2Hg.

Geometry as POSCAR:
```
BeCr2Hg
1.0
3.4755 0.0000 0.0000
0.0000 3.4755 0.0000
1.7377 1.7377 9.3154
Cr Hg Be
4 2 2
direct
0.5707 0.1250 0.2500
0.1793 0.6250 0.2500
0.3750 0.4293 0.7500
0.8750 0.8207 0.7500
0.0000 0.0000 0.0000
0.7500 0.2500 0.5000
0.5000 0.5000 0.0000
0.2500 0.7500 0.5000
```

For the volume, the calculation gives 14.06 Å³ per atom. The formation energy is 0.824 eV per atom.


DFT (GGA-PBE) results for an optimized crystal structure of BeCrHg2.

Geometry as POSCAR:
```
BeCrHg2
1.0
4.1771 0.0000 0.0000
0.0000 4.1771 0.0000
2.0885 2.0885 9.1561
Cr Hg Be
2 4 2
direct
0.0000 0.0000 0.0000
0.7500 0.2500 0.5000
0.6094 0.1250 0.2500
0.1406 0.6250 0.2500
0.3750 0.3906 0.7500
0.8750 0.8594 0.7500
0.5000 0.5000 0.0000
0.2500 0.7500 0.5000
```

For the volume, the calculation gives 19.97 Å³ per atom. The formation energy is 0.732 eV per atom.


DFT (GGA-PBE) results for an optimized crystal structure of BeCrHg2.

Geometry as POSCAR:
```
BeCrHg2
1.0
3.1319 0.0000 0.0000
0.0000 3.1362 0.0000
0.0000 0.0000 6.9244
Cr Hg Be
1 2 1
direct
0.5000 0.5000 0.7500
0.0000 0.0000 0.0225
0.0000 0.0000 0.4775
0.5000 0.5000 0.2500
```

For the volume, the calculation gives 17.00 Å³ per atom. The formation energy is 0.512 eV per atom.